(1)
Density functional theory data (PBE) for crystalline ZnCu2GeRh at its relaxed geometry.

Cell: 4.758 4.758 4.560 Å, 90.00 90.00 90.00°
Fractional positions:
Zn: 0.000 0.000 0.000
Cu: 0.000 0.500 0.500
Cu: 0.500 0.000 0.500
Ge: 0.500 0.500 0.000
Rh: 0.500 0.500 0.500

Properties
The calculation puts the density at 5919 kg/m3. For the uncorrected energy, the calculation gives -3.676 eV/atom. The calculation puts the volume at 20.650 Å³ per atom.

=====

(2)
Density functional theory data (PBE) for crystalline CuGe2Ru2 at its relaxed geometry.

Cell: 6.991 6.991 3.000 Å, 90.00 90.00 90.00°
Fractional positions:
Cu: 0.000 0.000 0.000
Cu: 0.500 0.500 0.000
Ge: 0.153 0.347 0.500
Ge: 0.347 0.847 0.500
Ge: 0.653 0.153 0.500
Ge: 0.847 0.653 0.500
Ru: 0.146 0.646 0.000
Ru: 0.354 0.146 0.000
Ru: 0.646 0.854 0.000
Ru: 0.854 0.354 0.000

Properties
The calculation puts the density at 9306 kg/m3. For the uncorrected energy, the calculation gives -6.480 eV/atom. The calculation puts the volume at 14.667 Å³ per atom. As for the relative energy among the computed polymorphs: 0.00 eV/f.u.

=====

(3)
Density functional theory data (PBE) for crystalline Cu2GeRu2 at its relaxed geometry.

Cell: 6.213 6.213 3.847 Å, 90.00 90.00 90.00°
Fractional positions:
Cu: 0.162 0.338 0.000
Cu: 0.338 0.838 0.000
Cu: 0.662 0.162 0.000
Cu: 0.838 0.662 0.000
Ge: 0.000 0.000 0.500
Ge: 0.500 0.500 0.500
Ru: 0.139 0.639 0.500
Ru: 0.361 0.139 0.500
Ru: 0.639 0.861 0.500
Ru: 0.861 0.361 0.500

Properties
The calculation puts the density at 8988 kg/m3. For the uncorrected energy, the calculation gives -6.050 eV/atom. The calculation puts the volume at 14.850 Å³ per atom.